Record 1
Entry from the Alexandria database: a geometry-optimized TaBeAu structure (PBE-GGA).

```
TaBeAu
1.0
4.5625 -1.7290 0.0000
4.5625 1.7290 0.0000
-3.7090 0.0000 5.6020
Ta Be Au
2 2 2
Cartesian
0.0000 0.0000 0.0000
2.5559 0.0000 4.1858
-1.2959 0.0000 2.4166
-0.0840 0.0000 4.1150
2.5180 0.0000 1.0245
5.2059 0.0000 2.5169
```

Summary:
Its energy above the most stable polymorph in this dataset is 0.241 eV per atom. The value obtained for the formation energy is -0.002 eV per atom.

***

Record 2
Entry from the Alexandria database: a geometry-optimized TaBeAu3 structure (PBE-GGA).

```
TaBeAu3
1.0
4.3945 0.0000 0.0000
0.0000 4.3945 0.0000
0.0000 0.0000 4.3945
Ta Be Au
1 1 3
Cartesian
0.0000 0.0000 0.0000
2.1973 2.1973 2.1973
0.0000 2.1973 2.1973
2.1973 0.0000 2.1973
2.1973 2.1973 0.0000
```

Summary:
Its energy above the most stable polymorph in this dataset is 0.000 eV per atom. The value obtained for the formation energy is 0.411 eV per atom.

***

Record 3
Entry from the Alexandria database: a geometry-optimized TaBeAu structure (PBE-GGA).

```
TaBeAu
1.0
7.7496 -1.8566 0.0000
7.7496 1.8566 0.0000
-0.6617 0.0000 3.1375
Ta Be Au
2 2 2
Cartesian
0.0000 0.0000 0.0000
8.9751 0.0000 1.9017
4.6156 0.0000 2.6198
6.5395 0.0000 1.3827
2.9405 0.0000 0.6243
12.7560 0.0000 1.0617
```

Summary:
Its energy above the most stable polymorph in this dataset is 0.174 eV per atom. The value obtained for the formation energy is -0.070 eV per atom.

***

Record 4
Entry from the Alexandria database: a geometry-optimized TaBeAu structure (PBE-GGA).

```
TaBeAu
1.0
5.1062 0.0000 0.0000
0.0000 2.8916 0.0000
-1.6243 0.0000 6.1416
Ta Be Au
2 2 2
Cartesian
0.0513 0.0000 1.8128
3.4306 0.0000 4.3288
-0.4983 1.4458 6.1325
3.9801 1.4458 0.0091
0.8767 1.4458 4.2153
2.6051 1.4458 1.9264
```

Summary:
Its energy above the most stable polymorph in this dataset is 0.220 eV per atom. The value obtained for the formation energy is -0.023 eV per atom.

***

Record 5
Entry from the Alexandria database: a geometry-optimized TaBeAu2 structure (PBE-GGA).

```
TaBeAu2
1.0
-1.4095 2.0206 5.6796
1.4095 -2.0206 5.6796
1.4095 2.0206 -5.6796
Ta Be Au
1 1 2
Cartesian
0.0000 0.0000 0.0000
1.4095 0.0000 2.1846
0.0000 0.0000 4.2616
0.0000 2.0206 2.1296
```

Summary:
The value obtained for the formation energy is 0.050 eV per atom.

***

Record 6
Entry from the Alexandria database: a geometry-optimized Ta2Be2Au structure (PBE-GGA).

```
Ta2Be2Au
1.0
1.6661 -5.9148 0.0000
1.6661 5.9148 0.0000
0.0000 0.0000 3.5366
Ta Be Au
2 2 1
Cartesian
1.6661 4.1802 0.0000
1.6661 -4.1802 0.0000
1.6661 2.3705 1.7683
1.6661 -2.3705 1.7683
1.6661 0.0000 1.7683
```

Summary:
Its energy above the most stable polymorph in this dataset is 0.036 eV per atom. The value obtained for the formation energy is -0.210 eV per atom.

***

Record 7
Entry from the Alexandria database: a geometry-optimized TaBeAu3 structure (PBE-GGA).

```
TaBeAu3
1.0
5.1363 0.0000 0.0000
0.0000 5.1363 0.0000
0.0000 0.0000 5.1363
Ta Be Au
1 1 3
Cartesian
0.0000 0.0000 0.0000
2.5682 2.5682 2.5682
0.0000 0.0000 2.5682
0.0000 2.5682 0.0000
2.5682 0.0000 0.0000
```

Summary:
Its energy above the most stable polymorph in this dataset is 0.981 eV per atom. The value obtained for the formation energy is 1.391 eV per atom.

***

Record 8
Entry from the Alexandria database: a geometry-optimized TaBe4Au structure (PBE-GGA).

```
TaBe4Au
1.0
0.0000 3.2472 3.2472
3.2472 0.0000 3.2472
3.2472 3.2472 0.0000
Ta Be Au
1 4 1
Cartesian
0.0000 0.0000 0.0000
2.3900 2.3900 2.3900
4.1044 4.1044 2.3900
4.1044 2.3900 4.1044
2.3900 4.1044 4.1044
4.8708 4.8708 4.8708
```

Summary:
The value obtained for the formation energy is 0.039 eV per atom.

***

Record 9
Entry from the Alexandria database: a geometry-optimized TaBeAu2 structure (PBE-GGA).

```
TaBeAu2
1.0
4.0550 0.0000 0.0000
0.0000 4.0550 0.0000
0.0000 0.0000 3.9569
Ta Be Au
1 1 2
Cartesian
0.0000 0.0000 0.0000
2.0275 2.0275 0.0000
0.0000 2.0275 1.9784
2.0275 0.0000 1.9784
```

Summary:
The value obtained for the formation energy is 0.262 eV per atom.

***

Record 10
Entry from the Alexandria database: a geometry-optimized TaBeAu2 structure (PBE-GGA).

```
TaBeAu2
1.0
1.4585 0.8421 8.6250
-1.4585 0.8421 8.6250
0.0000 -1.6841 8.6250
Ta Be Au
1 1 2
Cartesian
0.0000 0.0000 0.0000
0.0000 0.0000 12.9375
0.0000 0.0000 6.1779
0.0000 0.0000 19.6971
```

Summary:
The value obtained for the formation energy is 0.094 eV per atom.

***

Record 11
Entry from the Alexandria database: a geometry-optimized TaBeAu structure (PBE-GGA).

```
TaBeAu
1.0
2.9008 0.0000 0.0000
-1.4413 5.0643 0.0000
-0.0004 -2.0084 6.1223
Ta Be Au
2 2 2
Cartesian
0.0000 0.0000 0.0000
0.0235 2.7650 0.6697
0.0107 1.7616 4.2676
1.4603 -0.0937 4.7353
1.4641 0.8148 2.3633
1.4690 3.4838 3.2453
```

Summary:
Its energy above the most stable polymorph in this dataset is 0.260 eV per atom. The value obtained for the formation energy is 0.016 eV per atom.

***

Record 12
Entry from the Alexandria database: a geometry-optimized TaBeAu structure (PBE-GGA).

```
TaBeAu
1.0
5.2717 -1.7785 0.0000
5.2717 1.7785 0.0000
-1.0742 0.0000 4.6721
Ta Be Au
2 2 2
Cartesian
1.1530 0.0000 1.6003
8.3161 0.0000 3.0719
1.4727 0.0000 4.0676
7.9964 0.0000 0.6046
4.2096 0.0000 1.0193
5.2595 0.0000 3.6528
```

Summary:
Its energy above the most stable polymorph in this dataset is 0.170 eV per atom. The value obtained for the formation energy is -0.073 eV per atom.